Entry 1:
## BIrI2 (SCAN)

Data for BIrI2 at its PBEsol-relaxed geometry.

It has space group I-42d (No. 122), with a = 5.599 Å, b = 5.599 Å, c = 11.846 Å, α = 90.00°, β = 90.00° and γ = 90.00°. The distinct sites, in fractional coordinates, are B at (0.000, 0.000, 0.000), Ir at (0.000, 0.000, 0.500) and I at (0.228, 0.250, 0.125).

The value obtained for the formation energy (no corrections) is 1.39 eV/atom. For the raw total energy, the calculation gives -36.617 eV per atom.

Entry 2:
## BIrIO2 (SCAN)

Data for BIrIO2 at its PBEsol-relaxed geometry.

It has space group P4/mmm (No. 123), with a = 3.664 Å, b = 3.664 Å, c = 7.968 Å, α = 90.00°, β = 90.00° and γ = 90.00°. The distinct sites, in fractional coordinates, are B at (0.000, 0.000, 0.000), Ir at (0.500, 0.500, 0.500), I at (0.500, 0.500, 0.000) and O at (0.000, 0.500, 0.500).

The value obtained for the formation energy (no corrections) is 0.50 eV/atom. For the raw total energy, the calculation gives -25.045 eV per atom.

Entry 3:
## BTe2IrI (SCAN)

Data for BTe2IrI at its PBEsol-relaxed geometry.

It has space group P4/mmm (No. 123), with a = 5.110 Å, b = 5.110 Å, c = 5.534 Å, α = 90.00°, β = 90.00° and γ = 90.00°. The distinct sites, in fractional coordinates, are B at (0.000, 0.000, 0.000), Te at (0.000, 0.500, 0.500), Ir at (0.500, 0.500, 0.500) and I at (0.500, 0.500, 0.000).

The value obtained for the formation energy (no corrections) is 1.35 eV/atom. For the raw total energy, the calculation gives -36.600 eV per atom.

Entry 4:
## KB2I (SCAN)

Data for KB2I at its PBEsol-relaxed geometry.

It has space group I-42d (No. 122), with a = 7.351 Å, b = 7.351 Å, c = 6.509 Å, α = 90.00°, β = 90.00° and γ = 90.00°. The distinct sites, in fractional coordinates, are K at (0.000, 0.000, 0.000), B at (0.198, 0.750, 0.625) and I at (0.000, 0.000, 0.500).

The value obtained for the formation energy (no corrections) is 1.69 eV/atom. Its energy above the most stable polymorph in this dataset is 0.0 kJ/mol of atoms. For the raw total energy, the calculation gives -13.289 eV per atom.

Entry 5:
## KB2I (SCAN)

Data for KB2I at its PBEsol-relaxed geometry.

It has space group Fm-3m (No. 225), with a = 6.885 Å, b = 6.885 Å, c = 6.885 Å, α = 90.00°, β = 90.00° and γ = 90.00°. The distinct sites, in fractional coordinates, are K at (0.000, 0.000, 0.000), B at (0.250, 0.250, 0.250) and I at (0.000, 0.000, 0.500).

The value obtained for the formation energy (no corrections) is 1.90 eV/atom. Its energy above the most stable polymorph in this dataset is 19.9 kJ/mol of atoms. For the raw total energy, the calculation gives -13.082 eV per atom.

Entry 6:
## KZr6BI14 (SCAN)

Data for KZr6BI14 at its PBEsol-relaxed geometry.

It has space group Cmce (No. 64), with a = 15.787 Å, b = 14.178 Å, c = 12.709 Å, α = 90.00°, β = 90.00° and γ = 90.00°. The distinct sites, in fractional coordinates, are K at (0.000, 0.000, 0.000), Zr at (0.000, 0.137, 0.399), Zr at (0.107, 0.066, 0.610), B at (0.000, 0.000, 0.500), I at (0.000, 0.159, 0.766), I at (0.125, 0.089, 0.245), I at (0.126, 0.244, 0.506), I at (0.248, 0.000, 0.000) and I at (0.250, 0.154, 0.750).

The value obtained for the formation energy (no corrections) is -1.13 eV/atom. For the raw total energy, the calculation gives -33.597 eV per atom.

What are the magnetic moment values for these records? In order: 0.0, 0.2, 0.0, 0.0, 0.7, 0.0 μB per formula unit.